Crystalline Pm6Pr3SmY2 at its relaxed geometry, computed with PBE.

DOS(E_F) = 17.855 states/eV per cell
E = -5.03 eV per atom
Energy of formation from the pure elements = 0.014 eV/atom

abc: 6.3331 6.3331 12.1114
angles: 95.01 95.01 120.00
Last column: nearest neighbours and their distance in Å.
Positions (direct):
Pm1 0.0845 0.4176 0.7535  1 Sm 3.62, 2 Y 3.62, 6 Pm 3.65-3.66, 3 Pr 3.69
Pm2 0.2492 0.2492 0.2466  1 Sm 3.62, 2 Y 3.62, 6 Pm 3.65-3.66, 3 Pr 3.69
Pm3 0.4176 0.0845 0.7535  1 Sm 3.62, 2 Y 3.62, 6 Pm 3.65-3.66, 3 Pr 3.69
Pm4 0.5824 0.9155 0.2465  1 Sm 3.62, 2 Y 3.62, 6 Pm 3.65-3.66, 3 Pr 3.69
Pm5 0.7508 0.7508 0.7534  1 Sm 3.62, 2 Y 3.62, 6 Pm 3.65-3.66, 3 Pr 3.69
Pm6 0.9155 0.5824 0.2465  1 Sm 3.62, 2 Y 3.62, 6 Pm 3.65-3.66, 3 Pr 3.69
Pr1 0.0000 0.0000 0.5000  6 Pr 3.66, 6 Pm 3.69
Pr2 0.3332 0.6668 0.5000  6 Pr 3.65-3.66, 6 Pm 3.69
Pr3 0.6668 0.3332 0.5000  6 Pr 3.65-3.66, 6 Pm 3.69
Sm1 0.5000 0.5000 0.0000  6 Pm 3.62, 6 Y 3.66
Y1 0.1666 0.8334 0.0000  6 Pm 3.62, 3 Y 3.66, 3 Sm 3.66
Y2 0.8334 0.1666 0.0000  6 Pm 3.62, 3 Y 3.66, 3 Sm 3.66

Crystalline PmPr5Sm2Y at its relaxed geometry, computed with PBE.

DOS(E_F) = 31.816 states/eV per cell
E = -4.67 eV per atom
Energy of formation from the pure elements = 0.279 eV/atom

abc: 10.2048 10.2048 10.2048
angles: 127.99 127.99 76.64
Last column: nearest neighbours and their distance in Å.
Positions (direct):
Pm1 0.2500 0.2500 0.0000  10 Pr 3.66-4.00
Pm2 0.7500 0.7500 0.0000  10 Pr 3.66-4.00
Pr1 0.0000 0.0000 0.0000  4 Sm 3.59, 8 Pr 3.90, 2 Pm 4.00
Pr2 0.0714 0.5714 0.9213  1 Sm 3.12, 1 Y 3.20
Pr3 0.1501 0.0714 0.5000  1 Sm 3.12, 1 Y 3.20
Pr4 0.3499 0.8499 0.9213  1 Sm 3.12, 1 Y 3.20
Pr5 0.4286 0.3499 0.5000  1 Sm 3.12, 1 Y 3.20
Pr6 0.5000 0.5000 0.0000  4 Sm 3.59, 8 Pr 3.90, 2 Pm 4.00
Pr7 0.5714 0.6501 0.5000  1 Sm 3.12, 1 Y 3.20
Pr8 0.6501 0.1501 0.0787  1 Sm 3.12, 1 Y 3.20
Pr9 0.8499 0.9286 0.5000  1 Sm 3.12, 1 Y 3.20
Pr10 0.9286 0.4286 0.0787  1 Sm 3.12, 1 Y 3.20
Sm1 0.1164 0.3836 0.5000  1 Sm 2.95, 2 Pr 3.12
Sm2 0.3836 0.8836 0.2672  1 Sm 2.95, 2 Pr 3.12
Sm3 0.6164 0.1164 0.7328  1 Sm 2.95, 2 Pr 3.12
Sm4 0.8836 0.6164 0.5000  1 Sm 2.95, 2 Pr 3.12
Y1 0.2500 0.7500 0.5000  4 Pr 3.20
Y2 0.7500 0.2500 0.5000  4 Pr 3.20

Crystalline PmPr6Sm2Y at its relaxed geometry, computed with PBE.

DOS(E_F) = 29.641 states/eV per cell
E = -4.82 eV per atom
Energy of formation from the pure elements = 0.108 eV/atom

abc: 9.0551 9.0551 9.9210
angles: 94.32 94.32 118.09
Last column: nearest neighbours and their distance in Å.
Positions (direct):
Pm1 0.0226 0.9774 0.7500  4 Sm 3.46-3.48, 4 Pr 3.67-3.72
Pm2 0.9774 0.0226 0.2500  4 Sm 3.46-3.48, 4 Pr 3.67-3.72
Pr1 0.0136 0.5682 0.6867  3 Pr 3.35-3.75, 1 Sm 3.52, 1 Y 3.52, 1 Pm 3.67
Pr2 0.1168 0.7538 0.0538  7 Pr 3.49-3.90, 1 Sm 3.57, 1 Pm 3.72
Pr3 0.2462 0.8832 0.4462  7 Pr 3.49-3.90, 1 Sm 3.57, 1 Pm 3.72
Pr4 0.2941 0.5053 0.8801  3 Sm 3.33-3.54, 4 Pr 3.35-3.72, 2 Y 3.50-3.66
Pr5 0.4318 0.9864 0.8133  3 Pr 3.35-3.75, 1 Sm 3.52, 1 Y 3.52, 1 Pm 3.67
Pr6 0.4947 0.7059 0.6199  3 Sm 3.33-3.54, 4 Pr 3.35-3.72, 2 Y 3.50-3.66
Pr7 0.5053 0.2941 0.3801  3 Sm 3.33-3.54, 4 Pr 3.35-3.72, 2 Y 3.50-3.66
Pr8 0.5682 0.0136 0.1867  3 Pr 3.35-3.75, 1 Sm 3.52, 1 Y 3.52, 1 Pm 3.67
Pr9 0.7059 0.4947 0.1199  3 Sm 3.33-3.54, 4 Pr 3.35-3.72, 2 Y 3.50-3.66
Pr10 0.7538 0.1168 0.5538  7 Pr 3.49-3.90, 1 Sm 3.57, 1 Pm 3.72
Pr11 0.8832 0.2462 0.9462  7 Pr 3.49-3.90, 1 Sm 3.57, 1 Pm 3.72
Pr12 0.9864 0.4318 0.3133  3 Pr 3.35-3.75, 1 Sm 3.52, 1 Y 3.52, 1 Pm 3.67
Sm1 0.1980 0.2958 0.5436  5 Pr 3.33-3.57, 2 Pm 3.46-3.48, 1 Y 3.62
Sm2 0.2958 0.1980 0.0436  5 Pr 3.33-3.57, 2 Pm 3.46-3.48, 1 Y 3.62
Sm3 0.7042 0.8020 0.9564  5 Pr 3.33-3.57, 2 Pm 3.46-3.48, 1 Y 3.62
Sm4 0.8020 0.7042 0.4564  5 Pr 3.33-3.57, 2 Pm 3.46-3.48, 1 Y 3.62
Y1 0.4087 0.5913 0.2500  6 Pr 3.50-3.66, 2 Sm 3.62
Y2 0.5913 0.4087 0.7500  6 Pr 3.50-3.66, 2 Sm 3.62

- What is the DOS(E_F) in the third record?
  29.641 states/eV per cell